The following is a DFT calculation (PBE) of CaPIO2 after structural relaxation.

abc: 4.1734 4.1734 5.2426
angles: 90.00 90.00 90.00
Fractional positions:
P1 0.0000 0.0000 0.5000
I1 0.0000 0.0000 0.0000
Ca1 0.5000 0.5000 0.5000
O1 0.5000 0.0000 0.0000
O2 0.0000 0.5000 0.0000

E_tot	-4.203	eV/atom
formation energy without anion corrections	-0.4273	eV/atom

The following is a DFT calculation (PBE) of CaPaIO6 after structural relaxation.

abc: 5.7571 5.7571 9.7843
angles: 90.00 90.00 120.00
Fractional positions:
O1 0.0101 0.3601 0.6382
O2 0.0101 0.6499 0.8618
O3 0.3501 0.9899 0.6382
O4 0.3501 0.3601 0.8618
O5 0.6399 0.9899 0.8618
Pa1 0.6667 0.3333 0.7500
I1 0.3333 0.6667 0.7500
O6 0.9899 0.6399 0.3618
O7 0.6499 0.0101 0.3618
O8 0.6499 0.6399 0.1382
O9 0.3601 0.3501 0.3618
O10 0.3601 0.0101 0.1382
Ca1 0.0000 0.0000 0.5000
Ca2 0.0000 0.0000 0.0000
Pa2 0.3333 0.6667 0.2500
I2 0.6667 0.3333 0.2500
O11 0.6399 0.6499 0.6382
O12 0.9899 0.3501 0.1382

E_tot	-6.904	eV/atom
formation energy without anion corrections	-2.1491	eV/atom

The following is a DFT calculation (PBE) of Ca2PbIO6 after structural relaxation.

abc: 5.8462 5.8461 6.2754
angles: 62.23 62.23 60.00
Fractional positions:
Ca1 0.0162 0.0162 0.9514
I1 0.3216 0.3217 0.0350
Ca2 0.5282 0.5282 0.4153
O1 0.9758 0.5618 0.2261
O2 0.4070 0.6800 0.7789
O3 0.1342 0.4069 0.7788
Pb1 0.8006 0.8005 0.5985
O4 0.5618 0.2361 0.2262
O5 0.2360 0.9759 0.2263
O6 0.6802 0.1342 0.7787

E_tot	-5.479	eV/atom
formation energy without anion corrections	-1.5778	eV/atom

The following is a DFT calculation (PBE) of CaPb2IO8 after structural relaxation.

abc: 5.0653 5.0620 6.8734
angles: 90.00 90.00 89.69
Fractional positions:
Pb1 0.5000 0.5000 0.2521
O1 0.7198 0.7210 0.0000
O2 0.8186 0.1825 0.2065
O3 0.6871 0.6885 0.5000
Pb2 0.5000 0.5000 0.7479
O4 0.1814 0.8175 0.2065
O5 0.1814 0.8175 0.7935
O6 0.3129 0.3115 0.5000
I1 0.0000 0.0000 0.0000
O7 0.8186 0.1825 0.7935
O8 0.2802 0.2790 0.0000
Ca1 0.0000 0.0000 0.5000

E_tot	-5.227	eV/atom
formation energy without anion corrections	-1.0076	eV/atom

The following is a DFT calculation (PBE) of CaPbIO6 after structural relaxation.

abc: 5.6566 5.6566 4.8468
angles: 90.00 90.00 60.00
Fractional positions:
O1 0.6127 0.3363 0.7215
O2 0.3363 0.6128 0.2785
I1 0.3333 0.3333 0.5000
O3 0.6128 0.0509 0.2785
Pb1 0.0000 0.0000 0.0000
O4 0.3362 0.0510 0.7215
Ca1 0.6666 0.6667 0.5000
O5 0.0509 0.3363 0.2785
O6 0.0509 0.6128 0.7214

E_tot	-5.173	eV/atom
formation energy without anion corrections	-1.0613	eV/atom

The following is a DFT calculation (PBE) of CaPbIO2 after structural relaxation.

abc: 4.5756 4.5756 5.9546
angles: 90.00 90.00 90.00
Fractional positions:
I1 0.0000 0.0000 0.5000
Pb1 0.5000 0.5000 0.5000
O1 0.5000 0.0000 0.0000
Ca1 0.0000 0.0000 0.0000
O2 0.0000 0.5000 0.0000

E_tot	-4.208	eV/atom
formation energy without anion corrections	-0.7723	eV/atom